# 1
The following is a GGA-PBE calculation of a relaxed La2HfTe2N2 crystal, from Alexandria via LeMat-Bulk.

Computed properties:
- SG: I4/mmm (139)
- Energy relative to the elements, uncorrected: -1.5904 eV/atom

a = 4.3237 Å, b = 4.3237 Å, c = 9.0824 Å
α = 103.77°, β = 103.77°, γ = 90.00°
With the nearest neighbours (Å) after each atom.
Atoms (fractional coordinates):
N  0.0000  0.5000  0.0000  2 Hf 2.16
La  0.3994  0.3994  0.7987  4 N 2.76
Te  0.8237  0.8237  0.6475  1 Hf 3.02, 4 La 3.32
Te  0.1763  0.1763  0.3525  1 Hf 3.02, 4 La 3.32
La  0.6006  0.6006  0.2013  4 N 2.76
Hf  0.0000  0.0000  0.0000  4 N 2.16
N  0.5000  0.0000  0.0000  2 Hf 2.16

# 2
The following is a GGA-PBE calculation of a relaxed LiTh2Ag crystal, from Alexandria via LeMat-Bulk.

Computed properties:
- SG: R-3m (166)
- ΔE to the lowest computed polymorph: 167 meV per atom
- Calculated formation energy: 0.2765 eV/atom

a = 3.3442 Å, b = 3.3442 Å, c = 12.1101 Å
α = 82.06°, β = 82.06°, γ = 60.00°
With the nearest neighbours (Å) after each atom.
Atoms (fractional coordinates):
Li  0.0000  0.0000  0.0000  6 Li 3.34, 2 Th 3.35
Th  0.9067  0.9067  0.2800  3 Ag 3.26, 6 Th 3.34, 1 Li 3.35
Th  0.0933  0.0933  0.7200  3 Ag 3.26, 6 Th 3.34, 1 Li 3.35
Ag  0.5000  0.5000  0.5000  6 Th 3.26, 6 Ag 3.34

| no. | total magnetization (μB per atom) |
| --- | --- |
| 1 | 0.00 |
| 2 | 0.00 |